1) The following is a DFT calculation (PBE) of a geometry-optimized FeNiMoIr structure.

As for the crystal system: tetragonal. The calculation puts the theoretical density at 12.65 g/cm³.

Lattice parameters (Å, degrees): 3.7289 3.7292 4.6255 113.77 113.77 90.00
Each line ends with the local moment (μB).
Sites, in units of the cell vectors:
Fe (0.2500, 0.7500, 0.5000)  2.39
Ni (0.0000, 0.0000, 0.0000)  0.21
Mo (0.7500, 0.2500, 0.5000)  -0.22
Ir (0.5000, 0.5000, 0.0000)  0.11


2) The following is a DFT calculation (PBE) of a geometry-optimized FeNiMoIr structure.

As for the crystal system: cubic. The calculation puts the theoretical density at 12.68 g/cm³.

Lattice parameters (Å, degrees): 4.2098 4.2098 4.2098 60.00 60.00 60.00
Each line ends with the local moment (μB).
Sites, in units of the cell vectors:
Ni (0.0000, 0.0000, 0.0000)  -0.03
Mo (0.7500, 0.7500, 0.7500)  -0.30
Ir (0.2500, 0.2500, 0.2500)  0.23
Fe (0.5000, 0.5000, 0.5000)  2.27


The most stable of them is 1).


1) The following is a DFT calculation (PBE) of a geometry-optimized Fe2IrN structure.

As for the crystal system: trigonal. The calculation puts the theoretical density at 11.63 g/cm³.

Lattice parameters (Å, degrees): 2.7252 2.7252 7.2297 79.14 79.14 60.00
Each line ends with the local moment (μB).
Sites, in units of the cell vectors:
Ir (0.0000, 0.0000, 0.0000)  0.30
Fe (0.1151, 0.1151, 0.6546)  1.19
Fe (0.8849, 0.8849, 0.3454)  1.19
N (0.5000, 0.5000, 0.5000)  -0.02


2) The following is a DFT calculation (PBE) of a geometry-optimized Fe2IrN structure.

As for the crystal system: cubic. The calculation puts the theoretical density at 11.35 g/cm³.

Lattice parameters (Å, degrees): 4.0365 4.0365 4.0365 60.00 60.00 60.00
Each line ends with the local moment (μB).
Sites, in units of the cell vectors:
Ir (0.5000, 0.5000, 0.5000)  0.23
Fe (0.2500, 0.2500, 0.2500)  2.08
Fe (0.7500, 0.7500, 0.7500)  2.08
N (0.0000, 0.0000, 0.0000)  0.02


The most stable of them is 1).


1) The following is a DFT calculation (PBE) of a geometry-optimized FeIrSN2 structure.

As for the crystal system: tetragonal. The calculation puts the theoretical density at 6.80 g/cm³.

Lattice parameters (Å, degrees): 3.7293 3.7293 5.4075 90.00 90.00 90.00
Each line ends with the local moment (μB).
Sites, in units of the cell vectors:
S (0.0000, 0.0000, 0.5000)  0.08
Ir (0.0000, 0.0000, 0.0000)  -0.05
Fe (0.5000, 0.5000, 0.5000)  3.33
N (0.0000, 0.5000, 0.0000)  0.06
N (0.5000, 0.0000, 0.0000)  0.06


2) The following is a DFT calculation (PBE) of a geometry-optimized FeIrSN2 structure.

As for the crystal system: tetragonal. The calculation puts the theoretical density at 8.08 g/cm³.

Lattice parameters (Å, degrees): 3.4885 3.4885 5.2044 90.00 90.00 90.00
Sites, in units of the cell vectors:
S (0.0000, 0.0000, 0.5000)
Ir (0.5000, 0.5000, 0.5000)
Fe (0.0000, 0.0000, 0.0000)
N (0.0000, 0.5000, 0.0000)
N (0.5000, 0.0000, 0.0000)


The most stable of them is 1).


1) The following is a DFT calculation (PBE) of a geometry-optimized FeIrSeN2 structure.

As for the crystal system: tetragonal. The calculation puts the theoretical density at 7.20 g/cm³.

Lattice parameters (Å, degrees): 3.7342 3.7342 5.8705 90.00 90.00 90.00
Each line ends with the local moment (μB).
Sites, in units of the cell vectors:
Ir (0.0000, 0.0000, 0.0000)  -0.07
Fe (0.5000, 0.5000, 0.5000)  3.21
Se (0.0000, 0.0000, 0.5000)  0.06
N (0.0000, 0.5000, 0.0000)  0.09
N (0.5000, 0.0000, 0.0000)  0.09


2) The following is a DFT calculation (PBE) of a geometry-optimized FeIrSeN2 structure.

As for the crystal system: tetragonal. The calculation puts the theoretical density at 8.32 g/cm³.

Lattice parameters (Å, degrees): 3.5260 3.5260 5.7022 90.00 90.00 90.00
Each line ends with the local moment (μB).
Sites, in units of the cell vectors:
Ir (0.5000, 0.5000, 0.5000)  0.39
Fe (0.0000, 0.0000, 0.0000)  -0.08
Se (0.0000, 0.0000, 0.5000)  0.01
N (0.0000, 0.5000, 0.0000)  0.06
N (0.5000, 0.0000, 0.0000)  0.06


The most stable of them is 1).


1) The following is a DFT calculation (PBE) of a geometry-optimized FeTe2IrN structure.

As for the crystal system: tetragonal. The calculation puts the theoretical density at 8.07 g/cm³.

Lattice parameters (Å, degrees): 5.4228 5.4228 3.6176 90.00 90.00 90.00
Sites, in units of the cell vectors:
Ir (0.0000, 0.0000, 0.0000)
Te (0.0000, 0.5000, 0.0000)
Te (0.5000, 0.0000, 0.0000)
Fe (0.5000, 0.5000, 0.5000)
N (0.0000, 0.0000, 0.5000)


2) The following is a DFT calculation (PBE) of a geometry-optimized FeTe2IrN structure.

As for the crystal system: tetragonal. The calculation puts the theoretical density at 9.92 g/cm³.

Lattice parameters (Å, degrees): 5.0988 5.0988 3.3307 90.00 90.00 90.00
Sites, in units of the cell vectors:
Ir (0.5000, 0.5000, 0.5000)
Te (0.0000, 0.5000, 0.0000)
Te (0.5000, 0.0000, 0.0000)
Fe (0.0000, 0.0000, 0.0000)
N (0.0000, 0.0000, 0.5000)


The most stable of them is 2).


1) The following is a DFT calculation (PBE) of a geometry-optimized NaFeIr2 structure.

As for the crystal system: tetragonal. The calculation puts the theoretical density at 11.79 g/cm³.

Lattice parameters (Å, degrees): 7.2220 7.2220 5.6864 50.58 50.58 90.00
Sites, in units of the cell vectors:
Na (0.5000, 0.5000, 0.0000)
Na (0.2500, 0.7500, 0.5000)
Ir (0.6889, 0.1250, 0.2500)
Ir (0.0611, 0.6250, 0.2500)
Ir (0.3750, 0.3111, 0.7500)
Ir (0.8750, 0.9389, 0.7500)
Fe (0.0000, 0.0000, 0.0000)
Fe (0.7500, 0.2500, 0.5000)


2) The following is a DFT calculation (PBE) of a geometry-optimized NaFeIr2 structure.

As for the crystal system: cubic. The calculation puts the theoretical density at 13.37 g/cm³.

Lattice parameters (Å, degrees): 4.3331 4.3331 4.3331 60.00 60.00 60.00
Each line ends with the local moment (μB).
Sites, in units of the cell vectors:
Na (0.0000, 0.0000, 0.0000)  0.00
Ir (0.2500, 0.2500, 0.2500)  0.28
Ir (0.7500, 0.7500, 0.7500)  0.28
Fe (0.5000, 0.5000, 0.5000)  2.90


The most stable of them is 2).


1) The following is a DFT calculation (PBE) of a geometry-optimized Na2FeIr structure.

As for the crystal system: cubic. The calculation puts the theoretical density at 6.83 g/cm³.

Lattice parameters (Å, degrees): 4.6590 4.6590 4.6590 60.00 60.00 60.00
Each line ends with the local moment (μB).
Sites, in units of the cell vectors:
Na (0.2500, 0.2500, 0.2500)  -0.01
Na (0.7500, 0.7500, 0.7500)  -0.01
Ir (0.5000, 0.5000, 0.5000)  0.51
Fe (0.0000, 0.0000, 0.0000)  3.20


2) The following is a DFT calculation (PBE) of a geometry-optimized Na2FeIr structure.

As for the crystal system: tetragonal. The calculation puts the theoretical density at 6.17 g/cm³.

Lattice parameters (Å, degrees): 7.9932 7.9932 6.1717 49.64 49.64 90.00
Each line ends with the local moment (μB).
Sites, in units of the cell vectors:
Na (0.6283, 0.1250, 0.2500)  -0.02
Na (0.1217, 0.6250, 0.2500)  -0.02
Na (0.3750, 0.3717, 0.7500)  -0.02
Na (0.8750, 0.8783, 0.7500)  -0.02
Ir (0.0000, 0.0000, 0.0000)  0.88
Ir (0.7500, 0.2500, 0.5000)  0.88
Fe (0.5000, 0.5000, 0.0000)  3.16
Fe (0.2500, 0.7500, 0.5000)  3.16


The most stable of them is 2).


1) The following is a DFT calculation (PBE) of a geometry-optimized NaFeIr3 structure.

As for the crystal system: cubic. The calculation puts the theoretical density at 12.73 g/cm³.

Lattice parameters (Å, degrees): 4.4052 4.4052 4.4052 90.00 90.00 90.00
Each line ends with the local moment (μB).
Sites, in units of the cell vectors:
Na (0.0000, 0.0000, 0.0000)  0.00
Ir (0.0000, 0.5000, 0.0000)  -0.06
Ir (0.0000, 0.0000, 0.5000)  -0.10
Ir (0.5000, 0.0000, 0.0000)  -0.04
Fe (0.5000, 0.5000, 0.5000)  -0.13


2) The following is a DFT calculation (PBE) of a geometry-optimized NaFeIr3 structure.

As for the crystal system: cubic. The calculation puts the theoretical density at 11.80 g/cm³.

Lattice parameters (Å, degrees): 4.5179 4.5179 4.5179 90.00 90.00 90.00
Each line ends with the local moment (μB).
Sites, in units of the cell vectors:
Na (0.5000, 0.5000, 0.5000)  0.00
Ir (0.0000, 0.5000, 0.0000)  0.05
Ir (0.0000, 0.0000, 0.5000)  0.05
Ir (0.5000, 0.0000, 0.0000)  0.04
Fe (0.0000, 0.0000, 0.0000)  0.24


The most stable of them is 2).


1) The following is a DFT calculation (PBE) of a geometry-optimized Na2FeIr2 structure.

As for the crystal system: tetragonal. The calculation puts the theoretical density at 9.52 g/cm³.

Lattice parameters (Å, degrees): 8.2604 8.2604 2.4873 90.00 90.00 90.00
Each line ends with the local moment (μB).
Sites, in units of the cell vectors:
Na (0.3932, 0.8932, 0.0000)  0.00
Na (0.8932, 0.6068, 0.0000)  0.00
Na (0.6068, 0.1068, 0.0000)  0.00
Na (0.1068, 0.3932, 0.0000)  0.00
Ir (0.1928, 0.6928, 0.5000)  -0.03
Ir (0.6928, 0.8072, 0.5000)  -0.02
Ir (0.8072, 0.3072, 0.5000)  -0.03
Ir (0.3072, 0.1928, 0.5000)  -0.02
Fe (0.0000, 0.0000, 0.0000)  -0.10
Fe (0.5000, 0.5000, 0.0000)  -0.10


2) The following is a DFT calculation (PBE) of a geometry-optimized Na2FeIr2 structure.

As for the crystal system: tetragonal. The calculation puts the theoretical density at 7.06 g/cm³.

Lattice parameters (Å, degrees): 3.5057 3.5057 9.6261 79.51 79.51 90.00
Each line ends with the local moment (μB).
Sites, in units of the cell vectors:
Na (0.3872, 0.3872, 0.2255)  -0.02
Na (0.6128, 0.6128, 0.7745)  -0.02
Ir (0.7500, 0.2500, 0.5000)  -0.03
Ir (0.2500, 0.7500, 0.5000)  -0.03
Fe (0.0000, 0.0000, 0.0000)  3.14


The most stable of them is 2).


1) The following is a DFT calculation (PBE) of a geometry-optimized NaFe2Ir structure.

As for the crystal system: tetragonal. The calculation puts the theoretical density at 8.03 g/cm³.

Lattice parameters (Å, degrees): 7.0838 7.0838 5.6878 51.49 51.49 90.00
Each line ends with the local moment (μB).
Sites, in units of the cell vectors:
Na (0.5000, 0.5000, 0.0000)  -0.02
Na (0.2500, 0.7500, 0.5000)  -0.02
Ir (0.0000, 0.0000, 0.0000)  0.52
Ir (0.7500, 0.2500, 0.5000)  0.52
Fe (0.6635, 0.1250, 0.2500)  2.89
Fe (0.0865, 0.6250, 0.2500)  2.89
Fe (0.3750, 0.3365, 0.7500)  2.91
Fe (0.8750, 0.9135, 0.7500)  2.91


2) The following is a DFT calculation (PBE) of a geometry-optimized NaFe2Ir structure.

As for the crystal system: cubic. The calculation puts the theoretical density at 10.36 g/cm³.

Lattice parameters (Å, degrees): 4.2007 4.2007 4.2007 60.00 60.00 60.00
Sites, in units of the cell vectors:
Na (0.0000, 0.0000, 0.0000)
Ir (0.5000, 0.5000, 0.5000)
Fe (0.2500, 0.2500, 0.2500)
Fe (0.7500, 0.7500, 0.7500)


The most stable of them is 1).


1) The following is a DFT calculation (PBE) of a geometry-optimized NaFe3Ir structure.

As for the crystal system: cubic. The calculation puts the theoretical density at 8.20 g/cm³.

Lattice parameters (Å, degrees): 4.2639 4.2639 4.2639 90.00 90.00 90.00
Each line ends with the local moment (μB).
Sites, in units of the cell vectors:
Na (0.0000, 0.0000, 0.0000)  -0.04
Ir (0.5000, 0.5000, 0.5000)  0.66
Fe (0.0000, 0.5000, 0.0000)  2.90
Fe (0.0000, 0.0000, 0.5000)  2.84
Fe (0.5000, 0.0000, 0.0000)  3.08


2) The following is a DFT calculation (PBE) of a geometry-optimized NaFe3Ir structure.

As for the crystal system: cubic. The calculation puts the theoretical density at 5.91 g/cm³.

Lattice parameters (Å, degrees): 4.7557 4.7557 4.7557 90.00 90.00 90.00
Each line ends with the local moment (μB).
Sites, in units of the cell vectors:
Na (0.5000, 0.5000, 0.5000)  -0.01
Ir (0.0000, 0.0000, 0.0000)  0.64
Fe (0.0000, 0.5000, 0.0000)  3.34
Fe (0.0000, 0.0000, 0.5000)  3.57
Fe (0.5000, 0.0000, 0.0000)  2.62


The most stable of them is 2).


1) The following is a DFT calculation (PBE) of a geometry-optimized Nb2FeIr2 structure.

As for the crystal system: tetragonal. The calculation puts the theoretical density at 12.38 g/cm³.

Lattice parameters (Å, degrees): 7.6464 7.6464 2.8736 90.00 90.00 90.00
Each line ends with the local moment (μB).
Sites, in units of the cell vectors:
Nb (0.3358, 0.8358, 0.0000)  -0.03
Nb (0.8358, 0.6642, 0.0000)  -0.03
Nb (0.6642, 0.1642, 0.0000)  -0.03
Nb (0.1642, 0.3358, 0.0000)  -0.03
Ir (0.1328, 0.6328, 0.5000)  0.00
Ir (0.6328, 0.8672, 0.5000)  0.00
Ir (0.8672, 0.3672, 0.5000)  0.00
Ir (0.3672, 0.1328, 0.5000)  0.00
Fe (0.0000, 0.0000, 0.0000)  0.18
Fe (0.5000, 0.5000, 0.0000)  0.18


2) The following is a DFT calculation (PBE) of a geometry-optimized Nb2FeIr2 structure.

As for the crystal system: tetragonal. The calculation puts the theoretical density at 11.52 g/cm³.

Lattice parameters (Å, degrees): 3.7166 3.7166 7.0427 74.70 74.70 90.00
Each line ends with the local moment (μB).
Sites, in units of the cell vectors:
Nb (0.3948, 0.3948, 0.2104)  -0.51
Nb (0.6052, 0.6052, 0.7896)  -0.51
Ir (0.7500, 0.2500, 0.5000)  -0.03
Ir (0.2500, 0.7500, 0.5000)  -0.03
Fe (0.0000, 0.0000, 0.0000)  2.64


3) The following is a DFT calculation (PBE) of a geometry-optimized Nb2FeIr2 structure.

As for the crystal system: tetragonal. The calculation puts the theoretical density at 12.62 g/cm³.

Lattice parameters (Å, degrees): 7.3783 7.3783 3.0267 90.00 90.00 90.00
Sites, in units of the cell vectors:
Nb (0.1697, 0.6697, 0.5000)
Nb (0.6697, 0.8303, 0.5000)
Nb (0.8303, 0.3303, 0.5000)
Nb (0.3303, 0.1697, 0.5000)
Ir (0.3674, 0.8674, 0.0000)
Ir (0.8674, 0.6326, 0.0000)
Ir (0.6326, 0.1326, 0.0000)
Ir (0.1326, 0.3674, 0.0000)
Fe (0.0000, 0.0000, 0.0000)
Fe (0.5000, 0.5000, 0.0000)


The most stable of them is 3).